#A
The following is a PBE calculation of a geometry-optimized AcCdGa4 structure, from Alexandria.

Structure (POSCAR):
```
AcCdGa4
1.0
-0.961 -5.554 -1.353
3.238 -2.600 -4.044
3.840 -4.063 1.532
Cd Ga Ac
1 4 1
Cartesian
1.529 -3.054 -0.966
3.821 -7.632 -2.415
2.205 -6.335 -0.397
4.301 -4.860 -1.740
1.905 -5.604 -3.180
0.000 0.000 0.000
```

---

#B
The following is a PBE calculation of a geometry-optimized AcCdGa4 structure, from Alexandria.

Structure (POSCAR):
```
AcCdGa4
1.0
4.279 0.000 0.000
0.000 8.217 0.000
0.000 0.000 15.869
Ac Ga Cd
4 16 4
Cartesian
0.000 1.057 2.378
0.000 7.160 13.490
0.000 5.165 5.556
0.000 3.052 10.313
2.139 1.733 12.871
2.139 3.149 0.770
2.139 5.841 10.932
2.139 7.258 7.164
2.139 0.160 11.030
2.139 1.073 15.310
2.139 8.057 4.839
2.139 3.036 7.376
2.139 5.068 15.098
2.139 7.144 0.558
2.139 6.484 2.998
2.139 4.268 12.773
2.139 2.376 4.937
2.139 0.959 8.704
2.139 5.181 8.493
2.139 3.949 3.096
0.000 1.150 6.492
0.000 5.259 1.442
0.000 7.067 9.376
0.000 2.958 14.427
```

---

Which structure is most stable? #B, by 8.1 kJ/mol of atoms over the runner-up.

---

#A
The following is a PBE calculation of a geometry-optimized Ac3Cd4Ga4 structure, from Alexandria.

Structure (POSCAR):
```
Ac3Cd4Ga4
1.0
4.642 0.000 -1.278
-0.850 6.868 -3.087
-0.003 -0.109 9.059
Cd Ac Ga
4 3 4
Cartesian
2.356 5.837 -0.510
1.433 0.922 5.204
2.680 3.218 0.667
1.109 3.541 4.027
3.306 5.910 2.938
0.483 0.849 1.755
-0.425 3.434 -1.544
0.408 4.896 1.480
1.620 5.666 -3.186
2.172 1.202 -1.179
3.381 1.863 3.213
```

---

#B
The following is a PBE calculation of a geometry-optimized Ac3Cd4Ga4 structure, from Alexandria.

Structure (POSCAR):
```
Ac3Cd4Ga4
1.0
4.500 -0.002 -0.005
-0.002 4.679 0.004
2.216 2.328 13.932
Ac Cd Ga
3 4 4
Cartesian
0.000 0.000 0.000
4.477 2.335 4.126
2.237 4.670 9.804
4.481 2.331 11.291
2.229 2.330 6.943
2.233 4.673 2.639
4.485 4.674 6.986
4.389 4.668 12.649
4.478 2.334 8.608
2.236 4.670 5.322
2.325 2.336 1.281
```

---

Which structure is most stable? #A, by 0.6 kJ/mol of atoms over the runner-up.

---

#A
The following is a PBE calculation of a geometry-optimized Ac2GdCd structure, from Alexandria.

Structure (POSCAR):
```
Ac2GdCd
1.0
5.863 0.000 0.000
2.931 5.077 0.000
2.931 1.692 4.787
Cd Ac Gd
1 2 1
Cartesian
5.863 3.385 2.393
2.931 1.692 1.197
8.794 5.077 3.590
0.000 0.000 0.000
```

---

#B
The following is a PBE calculation of a geometry-optimized Ac2GdCd structure, from Alexandria.

Structure (POSCAR):
```
Ac2GdCd
1.0
3.991 0.000 0.000
0.000 3.991 0.000
0.000 0.000 9.176
Ac Gd Cd
2 1 1
Cartesian
0.000 0.000 2.092
0.000 0.000 7.084
1.996 1.996 4.588
1.996 1.996 0.000
```

---

#C
The following is a PBE calculation of a geometry-optimized Ac2GdCd structure, from Alexandria.

Structure (POSCAR):
```
Ac2GdCd
1.0
-2.436 2.005 2.077
-0.864 -1.120 3.502
8.690 7.349 6.530
Cd Gd Ac
1 1 2
Cartesian
0.000 0.000 0.000
2.695 4.118 6.055
-0.679 2.774 6.829
6.069 5.461 5.280
```

---

Which structure is most stable? #B, by 8.8 kJ/mol of atoms over the runner-up.